(1)
{"formula": "CsLiGa3", "functional": "PBE", "state": "optimized geometry", "crystal_system": "cubic", "delta_e_f_ev_per_atom": 0.22, "relative_energy_mev_per_atom": 0, "total_energy_ev_per_cell": -10.7, "lattice": [[5.203, 0.000, 0.000], [0.000, 5.203, 0.000], [0.000, 0.000, 5.203]], "species": ["Cs", "Li", "Ga", "Ga", "Ga"], "frac_coords": [[0.000, 0.000, 0.000], [0.500, 0.500, 0.500], [0.000, 0.500, 0.500], [0.500, 0.000, 0.500], [0.500, 0.500, 0.000]]}

(2)
{"formula": "CaMgZnHg2", "functional": "PBE", "state": "optimized geometry", "crystal_system": "tetragonal", "delta_e_f_ev_per_atom": 0.43, "total_energy_ev_per_cell": -3.3, "lattice": [[5.857, 0.000, 0.000], [0.000, 5.857, 0.000], [0.000, 0.000, 5.685]], "species": ["Ca", "Mg", "Zn", "Hg", "Hg"], "frac_coords": [[0.000, 0.000, 0.000], [0.500, 0.500, 0.500], [0.000, 0.000, 0.500], [0.000, 0.500, 0.000], [0.500, 0.000, 0.000]]}

(3)
{"formula": "UGeRuN", "functional": "PBE", "state": "optimized geometry", "crystal_system": "tetragonal", "e_form_raw_ev_per_atom": -0.786, "total_energy_ev_per_cell": -73.3, "lattice": [[4.037, 0.000, 0.000], [0.000, 4.037, 0.000], [0.000, 0.000, 7.701]], "species": ["U", "U", "Ge", "Ge", "Ru", "Ru", "N", "N"], "frac_coords": [[0.250, 0.250, 0.140], [0.750, 0.750, 0.860], [0.250, 0.250, 0.679], [0.750, 0.750, 0.321], [0.250, 0.750, 0.500], [0.750, 0.250, 0.500], [0.250, 0.750, 0.000], [0.750, 0.250, 0.000]]}

(4)
{"formula": "Pm2Zn3Ge4Pt", "functional": "PBE", "state": "optimized geometry", "crystal_system": "tetragonal", "delta_e_f_ev_per_atom": -0.53, "total_energy_ev_per_cell": -43.1, "lattice": [[4.269, 0.000, 0.000], [0.000, 4.269, 0.000], [0.000, 0.000, 10.581]], "species": ["Pm", "Pm", "Zn", "Zn", "Zn", "Ge", "Ge", "Ge", "Ge", "Pt"], "frac_coords": [[0.000, 0.500, 0.241], [0.500, 0.000, 0.759], [0.000, 0.000, 0.000], [0.000, 0.500, 0.637], [0.500, 0.000, 0.363], [0.000, 0.000, 0.500], [0.000, 0.500, 0.865], [0.500, 0.000, 0.135], [0.500, 0.500, 0.500], [0.500, 0.500, 0.000]]}

(5)
{"formula": "Ac6CoSe3S2", "functional": "PBE", "state": "optimized geometry", "crystal_system": "monoclinic", "e_form_raw_ev_per_atom": -1.578, "total_energy_ev_per_cell": -69.4, "lattice": [[3.814, -6.573, 0.000], [3.814, 6.573, 0.000], [-2.550, 0.000, 7.261]], "species": ["Ac", "Ac", "Ac", "Ac", "Ac", "Ac", "Co", "Se", "Se", "Se", "S", "S"], "frac_coords": [[0.077, 0.397, 0.231], [0.244, 0.244, 0.766], [0.397, 0.077, 0.231], [0.603, 0.923, 0.769], [0.756, 0.756, 0.234], [0.923, 0.603, 0.769], [0.000, 0.000, 0.000], [0.173, 0.827, 0.500], [0.500, 0.500, 0.500], [0.827, 0.173, 0.500], [0.334, 0.666, 0.000], [0.666, 0.334, 0.000]]}

(6)
{"formula": "La5TeAs4", "functional": "PBE", "state": "optimized geometry", "crystal_system": "orthorhombic", "e_form_raw_ev_per_atom": -1.606, "total_energy_ev_per_cell": -62.4, "lattice": [[-2.200, 3.128, 11.073], [2.200, -3.128, 11.073], [2.200, 3.128, -11.073]], "species": ["La", "La", "La", "La", "La", "Te", "As", "As", "As", "As"], "frac_coords": [[0.000, 0.000, 0.000], [0.199, 0.199, 0.000], [0.391, 0.391, 0.000], [0.609, 0.609, 0.000], [0.801, 0.801, 0.000], [0.500, 0.000, 0.500], [0.099, 0.599, 0.500], [0.298, 0.798, 0.500], [0.702, 0.202, 0.500], [0.901, 0.401, 0.500]]}

(7)
{"formula": "Ca2PIr", "functional": "PBE", "state": "optimized geometry", "crystal_system": "orthorhombic", "delta_e_f_ev_per_atom": -0.17, "total_energy_ev_per_cell": -18.9, "lattice": [[3.032, 0.000, 0.000], [0.000, 5.014, 0.000], [0.000, 0.000, 5.829]], "species": ["Ca", "Ca", "P", "Ir"], "frac_coords": [[0.000, 0.000, 0.000], [0.500, 0.500, 0.499], [0.500, 0.500, 0.999], [0.000, 0.000, 0.500]]}

(8)
{"formula": "LiAcZnRh2", "functional": "PBE", "state": "optimized geometry", "crystal_system": "tetragonal", "delta_e_f_ev_per_atom": -0.44, "total_energy_ev_per_cell": -24.2, "lattice": [[-2.057, 2.057, 5.739], [2.057, -2.057, 5.739], [2.057, 2.057, -5.739]], "species": ["Li", "Ac", "Zn", "Rh", "Rh"], "frac_coords": [[0.000, 0.000, 0.000], [0.250, 0.750, 0.500], [0.500, 0.500, 0.000], [0.636, 0.136, 0.500], [0.864, 0.364, 0.500]]}

(9)
{"formula": "Li2In2PPt4", "functional": "PBE", "state": "optimized geometry", "crystal_system": "tetragonal", "delta_e_f_ev_per_atom": -0.45, "total_energy_ev_per_cell": -42.9, "lattice": [[-3.032, 3.032, 4.066], [3.032, -3.032, 4.066], [3.032, 3.032, -4.066]], "species": ["Li", "Li", "In", "In", "P", "Pt", "Pt", "Pt", "Pt"], "frac_coords": [[0.211, 0.211, 0.000], [0.789, 0.789, 0.000], [0.250, 0.750, 0.500], [0.750, 0.250, 0.500], [0.500, 0.500, 0.000], [0.233, 0.233, 0.466], [0.233, 0.767, 0.000], [0.767, 0.233, 0.000], [0.767, 0.767, 0.534]]}

(10)
{"formula": "ScPaTaC3", "functional": "PBE", "state": "optimized geometry", "crystal_system": "monoclinic", "delta_e_f_ev_per_atom": -0.48, "total_energy_ev_per_cell": -116.5, "lattice": [[5.775, 0.000, 0.000], [0.000, 3.370, 0.000], [-1.891, 0.000, 8.423]], "species": ["Sc", "Sc", "Pa", "Pa", "Ta", "Ta", "C", "C", "C", "C", "C", "C"], "frac_coords": [[0.231, 0.250, 0.450], [0.769, 0.750, 0.550], [0.350, 0.750, 0.803], [0.650, 0.250, 0.197], [0.134, 0.750, 0.139], [0.866, 0.250, 0.861], [0.056, 0.250, 0.671], [0.247, 0.250, 0.014], [0.440, 0.750, 0.326], [0.560, 0.250, 0.674], [0.753, 0.750, 0.986], [0.944, 0.750, 0.329]]}

(11)
{"formula": "CrSiBi2Ru", "functional": "PBE", "state": "optimized geometry", "crystal_system": "tetragonal", "e_form_raw_ev_per_atom": 1.185, "total_energy_ev_per_cell": -26.2, "lattice": [[5.346, 0.000, 0.000], [0.000, 5.346, 0.000], [0.000, 0.000, 4.450]], "species": ["Cr", "Si", "Bi", "Bi", "Ru"], "frac_coords": [[0.000, 0.000, 0.000], [0.500, 0.500, 0.000], [0.000, 0.500, 0.500], [0.500, 0.000, 0.500], [0.500, 0.500, 0.500]]}

(12)
{"formula": "AcNd6Co3", "functional": "PBE", "state": "optimized geometry", "crystal_system": "orthorhombic", "delta_e_f_ev_per_atom": 0.07, "total_energy_ev_per_cell": -106.7, "lattice": [[6.068, -6.169, 0.000], [6.068, 6.169, 0.000], [0.000, 0.000, 7.498]], "species": ["Ac", "Ac", "Nd", "Nd", "Nd", "Nd", "Nd", "Nd", "Nd", "Nd", "Nd", "Nd", "Nd", "Nd", "Co", "Co", "Co", "Co", "Co", "Co"], "frac_coords": [[0.193, 0.807, 0.500], [0.807, 0.193, 0.000], [0.015, 0.513, 0.797], [0.160, 0.840, 0.031], [0.228, 0.235, 0.044], [0.235, 0.228, 0.544], [0.454, 0.546, 0.850], [0.487, 0.985, 0.797], [0.513, 0.015, 0.297], [0.546, 0.454, 0.350], [0.765, 0.772, 0.044], [0.772, 0.765, 0.544], [0.840, 0.160, 0.531], [0.985, 0.487, 0.297], [0.010, 0.990, 0.761], [0.270, 0.539, 0.179], [0.461, 0.730, 0.179], [0.539, 0.270, 0.679], [0.730, 0.461, 0.679], [0.990, 0.010, 0.261]]}

(13)
{"formula": "Cr2PSe", "functional": "PBE", "state": "optimized geometry", "crystal_system": "tetragonal", "e_form_raw_ev_per_atom": -0.033, "relative_energy_mev_per_atom": 210, "total_energy_ev_per_cell": -28.3, "lattice": [[2.958, 0.000, 0.000], [0.000, 2.958, 0.000], [0.000, 0.000, 6.033]], "species": ["Cr", "Cr", "P", "Se"], "frac_coords": [[0.000, 0.000, 0.223], [0.000, 0.000, 0.777], [0.500, 0.500, 0.000], [0.500, 0.500, 0.500]]}

(14)
{"formula": "Tm8Te4As3Se", "functional": "PBE", "state": "optimized geometry", "crystal_system": "trigonal", "e_form_raw_ev_per_atom": -1.435, "total_energy_ev_per_cell": -88.7, "lattice": [[4.139, 2.390, 6.974], [-4.139, 2.390, 6.974], [0.000, -4.779, 6.974]], "species": ["Tm", "Tm", "Tm", "Tm", "Tm", "Tm", "Tm", "Tm", "Te", "Te", "Te", "Te", "As", "As", "As", "Se"], "frac_coords": [[0.233, 0.741, 0.741], [0.238, 0.238, 0.238], [0.259, 0.259, 0.767], [0.259, 0.767, 0.259], [0.741, 0.233, 0.741], [0.741, 0.741, 0.233], [0.762, 0.762, 0.762], [0.767, 0.259, 0.259], [0.000, 0.000, 0.000], [0.000, 0.500, 0.500], [0.500, 0.000, 0.500], [0.500, 0.500, 0.000], [0.000, 0.000, 0.500], [0.000, 0.500, 0.000], [0.500, 0.000, 0.000], [0.500, 0.500, 0.500]]}

(15)
{"formula": "Ba3Cl", "functional": "PBE", "state": "optimized geometry", "crystal_system": "tetragonal", "e_form_raw_ev_per_atom": -0.419, "relative_energy_mev_per_atom": 432, "total_energy_ev_per_cell": -9.3, "lattice": [[-2.630, 2.630, 7.787], [2.630, -2.630, 7.787], [2.630, 2.630, -7.787]], "species": ["Ba", "Ba", "Ba", "Cl"], "frac_coords": [[0.000, 0.000, 0.000], [0.250, 0.750, 0.500], [0.750, 0.250, 0.500], [0.500, 0.500, 0.000]]}

(16)
{"formula": "Cd2AuBr", "functional": "PBE", "state": "optimized geometry", "crystal_system": "monoclinic", "e_form_raw_ev_per_atom": -0.130, "relative_energy_mev_per_atom": 122, "total_energy_ev_per_cell": -7.3, "lattice": [[4.697, 0.000, 0.000], [0.000, 5.637, 0.000], [-1.720, 0.000, 4.373]], "species": ["Cd", "Cd", "Au", "Br"], "frac_coords": [[0.000, 0.000, 0.000], [0.358, 0.500, 0.640], [0.365, 0.000, 0.635], [0.728, 0.500, 0.269]]}

(17)
{"formula": "KDy3Se4O12", "functional": "PBE", "state": "optimized geometry", "crystal_system": "trigonal", "e_form_raw_ev_per_atom": -1.616, "total_energy_ev_per_cell": -120.7, "lattice": [[6.138, 3.544, 2.804], [-6.138, 3.544, 2.804], [0.000, -7.088, 2.804]], "species": ["K", "Dy", "Dy", "Dy", "Se", "Se", "Se", "Se", "O", "O", "O", "O", "O", "O", "O", "O", "O", "O", "O", "O"], "frac_coords": [[0.000, 0.000, 0.000], [0.000, 0.566, 0.434], [0.434, 0.000, 0.566], [0.566, 0.434, 0.000], [0.065, 0.500, 0.935], [0.500, 0.500, 0.500], [0.500, 0.935, 0.065], [0.935, 0.065, 0.500], [0.078, 0.626, 0.779], [0.117, 0.883, 0.500], [0.221, 0.374, 0.922], [0.345, 0.655, 0.500], [0.374, 0.922, 0.221], [0.500, 0.117, 0.883], [0.500, 0.345, 0.655], [0.626, 0.779, 0.078], [0.655, 0.500, 0.345], [0.779, 0.078, 0.626], [0.883, 0.500, 0.117], [0.922, 0.221, 0.374]]}

(18)
{"formula": "ZnCuRu2", "functional": "PBE", "state": "optimized geometry", "crystal_system": "orthorhombic", "delta_e_f_ev_per_atom": 0.05, "total_energy_ev_per_cell": -23.7, "lattice": [[2.744, 0.000, 0.000], [0.000, 3.700, 0.000], [0.000, 0.000, 5.389]], "species": ["Zn", "Cu", "Ru", "Ru"], "frac_coords": [[0.000, 0.000, 0.000], [0.500, 0.500, 0.219], [0.000, 0.000, 0.500], [0.500, 0.500, 0.711]]}

(19)
{"formula": "Th2Zn7Pd", "functional": "PBE", "state": "optimized geometry", "crystal_system": "tetragonal", "delta_e_f_ev_per_atom": -0.33, "total_energy_ev_per_cell": -32.3, "lattice": [[4.345, 0.000, 0.000], [0.000, 4.345, 0.000], [0.000, 0.000, 10.062]], "species": ["Th", "Th", "Zn", "Zn", "Zn", "Zn", "Zn", "Zn", "Zn", "Pd"], "frac_coords": [[0.000, 0.500, 0.244], [0.500, 0.000, 0.756], [0.000, 0.000, 0.000], [0.000, 0.000, 0.500], [0.000, 0.500, 0.629], [0.000, 0.500, 0.868], [0.500, 0.000, 0.132], [0.500, 0.000, 0.371], [0.500, 0.500, 0.500], [0.500, 0.500, 0.000]]}

(20)
{"formula": "TiZnSnO4", "functional": "PBE", "state": "optimized geometry", "crystal_system": "hexagonal", "e_form_raw_ev_per_atom": -2.030, "relative_energy_mev_per_atom": 1, "total_energy_ev_per_cell": -283.3, "lattice": [[9.351, 0.000, 0.000], [-4.675, 8.098, 0.000], [0.000, 0.000, 9.514]], "species": ["Ti", "Ti", "Ti", "Ti", "Ti", "Ti", "Zn", "Zn", "Zn", "Zn", "Zn", "Zn", "Sn", "Sn", "Sn", "Sn", "Sn", "Sn", "O", "O", "O", "O", "O", "O", "O", "O", "O", "O", "O", "O", "O", "O", "O", "O", "O", "O", "O", "O", "O", "O", "O", "O"], "frac_coords": [[0.011, 0.687, 0.000], [0.313, 0.325, 0.000], [0.325, 0.011, 0.500], [0.675, 0.989, 0.000], [0.687, 0.675, 0.500], [0.989, 0.313, 0.500], [0.013, 0.663, 0.625], [0.337, 0.351, 0.625], [0.351, 0.013, 0.125], [0.649, 0.987, 0.625], [0.663, 0.649, 0.125], [0.987, 0.337, 0.125], [0.000, 0.000, 0.233], [0.000, 0.000, 0.733], [0.333, 0.667, 0.388], [0.333, 0.667, 0.911], [0.667, 0.333, 0.411], [0.667, 0.333, 0.888], [0.075, 0.726, 0.821], [0.104, 0.884, 0.098], [0.110, 0.565, 0.055], [0.116, 0.219, 0.098], [0.217, 0.443, 0.515], [0.219, 0.104, 0.598], [0.226, 0.783, 0.515], [0.274, 0.349, 0.821], [0.349, 0.075, 0.321], [0.435, 0.545, 0.055], [0.443, 0.226, 0.015], [0.455, 0.890, 0.055], [0.545, 0.110, 0.555], [0.557, 0.774, 0.515], [0.565, 0.455, 0.555], [0.651, 0.925, 0.821], [0.726, 0.651, 0.321], [0.774, 0.217, 0.015], [0.781, 0.896, 0.098], [0.783, 0.557, 0.015], [0.884, 0.781, 0.598], [0.890, 0.435, 0.555], [0.896, 0.116, 0.598], [0.925, 0.274, 0.321]]}

(21)
{"formula": "Ba3Tb3SmSe8", "functional": "PBE", "state": "optimized geometry", "crystal_system": "trigonal", "e_form_raw_ev_per_atom": -1.929, "total_energy_ev_per_cell": -81.2, "lattice": [[4.242, 2.449, 7.525], [-4.242, 2.449, 7.525], [0.000, -4.898, 7.525]], "species": ["Ba", "Ba", "Ba", "Tb", "Tb", "Tb", "Sm", "Se", "Se", "Se", "Se", "Se", "Se", "Se", "Se"], "frac_coords": [[0.000, 0.500, 0.500], [0.500, 0.000, 0.500], [0.500, 0.500, 0.000], [0.000, 0.000, 0.500], [0.000, 0.500, 0.000], [0.500, 0.000, 0.000], [0.500, 0.500, 0.500], [0.232, 0.741, 0.741], [0.238, 0.238, 0.238], [0.259, 0.259, 0.768], [0.259, 0.768, 0.259], [0.741, 0.232, 0.741], [0.741, 0.741, 0.232], [0.762, 0.762, 0.762], [0.768, 0.259, 0.259]]}

(22)
{"formula": "Tb2Nd6Y3Er", "functional": "PBE", "state": "optimized geometry", "crystal_system": "monoclinic", "delta_e_f_ev_per_atom": 0.01, "total_energy_ev_per_cell": -61.7, "lattice": [[3.144, -5.444, 0.000], [3.144, 5.444, 0.000], [-2.089, 0.000, 11.702]], "species": ["Tb", "Tb", "Nd", "Nd", "Nd", "Nd", "Nd", "Nd", "Y", "Y", "Y", "Er"], "frac_coords": [[0.167, 0.833, 0.000], [0.833, 0.167, 0.000], [0.084, 0.416, 0.751], [0.250, 0.250, 0.249], [0.416, 0.084, 0.751], [0.584, 0.916, 0.249], [0.750, 0.750, 0.751], [0.916, 0.584, 0.249], [0.000, 0.000, 0.500], [0.333, 0.667, 0.500], [0.667, 0.333, 0.500], [0.500, 0.500, 0.000]]}